# LiCd2Te

LiCd2Te after structural relaxation (PBE, the Alexandria database).

The structure in POSCAR format:
```
LiCd2Te
1.0
3.207 0.187 0.000
-0.192 3.206 0.000
0.000 0.000 9.451
Cd Li Te
2 1 1
direct
0.000 0.000 0.031
0.500 0.500 0.273
0.000 0.000 0.495
0.500 0.500 0.701
```

Output
The calculation puts the uncorrected formation energy at -167 meV/atom. As for the space group: No. 35. The total magnetic moment is 0.00 μB per cell. The volume is 24.4 Å³/atom.